Entry 1:
DFT (PBE) results for an optimized crystal structure of Ac2LaInRh.

Unit cell a=5.771 b=5.771 c=5.482 alpha=90.00 beta=90.00 gamma=90.00
Space group P4mm (No. 99)
One atom of each set of equivalent atoms:
Ac 0.000 0.500 0.000 (multiplicity 2)
La 0.000 0.000 0.500 (multiplicity 1)
In 0.500 0.500 0.501 (multiplicity 1)
Rh 0.000 0.000 0.000 (multiplicity 1)



Entry 2:
DFT (PBE) results for an optimized crystal structure of AcLaInRu.

Unit cell a=7.655 b=7.655 c=7.655 alpha=90.00 beta=90.00 gamma=90.00
Space group F-43m (No. 216)
One atom of each set of equivalent atoms:
Ac 0.000 0.000 0.000 (multiplicity 4)
La 0.000 0.000 0.500 (multiplicity 4)
In 0.250 0.250 0.250 (multiplicity 4)
Ru 0.250 0.250 0.750 (multiplicity 4)



Entry 3:
DFT (PBE) results for an optimized crystal structure of Ac2LaInRu.

Unit cell a=5.723 b=5.723 c=5.433 alpha=90.00 beta=90.00 gamma=90.00
Space group P4mm (No. 99)
One atom of each set of equivalent atoms:
Ac 0.000 0.500 0.000 (multiplicity 2)
La 0.000 0.000 0.506 (multiplicity 1)
In 0.500 0.500 0.514 (multiplicity 1)
Ru 0.000 0.000 0.042 (multiplicity 1)



Entry 4:
DFT (PBE) results for an optimized crystal structure of AcLa2InRu.

Unit cell a=5.461 b=5.461 c=5.747 alpha=90.00 beta=90.00 gamma=90.00
Space group P4mm (No. 99)
One atom of each set of equivalent atoms:
Ac 0.000 0.000 0.000 (multiplicity 1)
La 0.000 0.500 0.497 (multiplicity 2)
In 0.500 0.500 0.004 (multiplicity 1)
Ru 0.000 0.000 0.504 (multiplicity 1)



E_form values, unit eV/atom, following the record order: -0.40, -0.13, -0.27, -0.30.